i) This record from Alexandria via LeMat-Bulk describes a relaxed Na3ScIr crystal. The functional is PBE.

It has space group Pm-3m (No. 221), with a = 5.342 Å, b = 5.342 Å, c = 5.342 Å, α = 90.00°, β = 90.00° and γ = 90.00°. The asymmetric unit holds Na at (0.000, 0.000, 0.500), Sc at (0.000, 0.000, 0.000) and Ir at (0.500, 0.500, 0.500).

The mass density is 3.336 g cm⁻³. The value obtained for the total magnetic moment is 0.00 μB per cell. Its density of states at the Fermi level is 2.333 states/eV per atom.


ii) This record from Alexandria via LeMat-Bulk describes a relaxed Na3ScIr crystal. The functional is PBE.

It has space group Pm-3m (No. 221), with a = 5.316 Å, b = 5.316 Å, c = 5.316 Å, α = 90.00°, β = 90.00° and γ = 90.00°. The asymmetric unit holds Na at (0.000, 0.000, 0.500), Sc at (0.500, 0.500, 0.500) and Ir at (0.000, 0.000, 0.000).

The mass density is 3.384 g cm⁻³. The value obtained for the total magnetic moment is 0.00 μB per cell. Its density of states at the Fermi level is 1.904 states/eV per atom.


Most favorable structure: ii). The second most favorable one is 825 meV/atom above it.


i) This record from Alexandria via LeMat-Bulk describes a relaxed NaSc2Ir2 crystal. The functional is PBE.

It has space group P4/mbm (No. 127), with a = 7.922 Å, b = 7.922 Å, c = 3.015 Å, α = 90.00°, β = 90.00° and γ = 90.00°. The asymmetric unit holds Na at (0.000, 0.000, 0.000), Sc at (0.143, 0.357, 0.000) and Ir at (0.148, 0.648, 0.500).

The mass density is 8.728 g cm⁻³. The value obtained for the total magnetic moment is 0.00 μB per cell. Its density of states at the Fermi level is 0.626 states/eV per atom.


ii) This record from Alexandria via LeMat-Bulk describes a relaxed NaSc2Ir2 crystal. The functional is PBE.

It has space group P4/mbm (No. 127), with a = 7.849 Å, b = 7.849 Å, c = 3.082 Å, α = 90.00°, β = 90.00° and γ = 90.00°. The asymmetric unit holds Na at (0.000, 0.000, 0.000), Sc at (0.148, 0.352, 0.500) and Ir at (0.143, 0.643, 0.000).

The mass density is 8.698 g cm⁻³. The value obtained for the total magnetic moment is 0.00 μB per cell. Its density of states at the Fermi level is 0.446 states/eV per atom.


Most favorable structure: ii). The second most favorable one is 39 meV/atom above it.


i) This record from Alexandria via LeMat-Bulk describes a relaxed Na2Ir2Se crystal. The functional is PBE.

It has space group I4/mmm (No. 139), with a = 3.506 Å, b = 3.506 Å, c = 18.102 Å, α = 90.00°, β = 90.00° and γ = 90.00°. The asymmetric unit holds Na at (0.000, 0.000, 0.100), Ir at (0.000, 0.500, 0.250) and Se at (0.000, 0.000, 0.500).

The mass density is 7.602 g cm⁻³. The value obtained for the total magnetic moment is 0.00 μB per cell. Its density of states at the Fermi level is 0.755 states/eV per atom.


ii) This record from Alexandria via LeMat-Bulk describes a relaxed Na2Ir2Se crystal. The functional is PBE.

It has space group P4/mbm (No. 127), with a = 8.822 Å, b = 8.822 Å, c = 2.537 Å, α = 90.00°, β = 90.00° and γ = 90.00°. The asymmetric unit holds Na at (0.118, 0.382, 0.000), Ir at (0.179, 0.679, 0.500) and Se at (0.000, 0.000, 0.000).

The mass density is 8.567 g cm⁻³. The value obtained for the total magnetic moment is 0.00 μB per cell. Its density of states at the Fermi level is 1.214 states/eV per atom.


Most favorable structure: i). The second most favorable one is 786 meV/atom above it.


i) This record from Alexandria via LeMat-Bulk describes a relaxed NaSi3Ir crystal. The functional is PBE.

It has space group Pm-3m (No. 221), with a = 4.741 Å, b = 4.741 Å, c = 4.741 Å, α = 90.00°, β = 90.00° and γ = 90.00°. The asymmetric unit holds Na at (0.000, 0.000, 0.000), Si at (0.000, 0.500, 0.500) and Ir at (0.500, 0.500, 0.500).

The mass density is 4.666 g cm⁻³. The value obtained for the total magnetic moment is 0.00 μB per cell. Its density of states at the Fermi level is 1.061 states/eV per atom.


ii) This record from Alexandria via LeMat-Bulk describes a relaxed NaSi3Ir crystal. The functional is PBE.

It has space group Pm-3m (No. 221), with a = 4.638 Å, b = 4.638 Å, c = 4.638 Å, α = 90.00°, β = 90.00° and γ = 90.00°. The asymmetric unit holds Na at (0.000, 0.000, 0.000), Si at (0.000, 0.000, 0.500) and Ir at (0.500, 0.500, 0.500).

The mass density is 4.985 g cm⁻³. The value obtained for the total magnetic moment is 0.00 μB per cell. Its density of states at the Fermi level is 0.789 states/eV per atom.


Most favorable structure: i). The second most favorable one is 1558 meV/atom above it.


i) This record from Alexandria via LeMat-Bulk describes a relaxed Na2SiIr2 crystal. The functional is PBE.

It has space group P4/mbm (No. 127), with a = 6.092 Å, b = 6.092 Å, c = 5.010 Å, α = 90.00°, β = 90.00° and γ = 90.00°. The asymmetric unit holds Na at (0.169, 0.331, 0.000), Si at (0.000, 0.000, 0.500) and Ir at (0.145, 0.645, 0.500).

The mass density is 8.190 g cm⁻³. The value obtained for the total magnetic moment is 0.00 μB per cell. Its density of states at the Fermi level is 0.897 states/eV per atom.


ii) This record from Alexandria via LeMat-Bulk describes a relaxed Na2SiIr2 crystal. The functional is PBE.

It has space group I4/mmm (No. 139), with a = 3.481 Å, b = 3.481 Å, c = 19.019 Å, α = 90.00°, β = 90.00° and γ = 90.00°. The asymmetric unit holds Na at (0.000, 0.000, 0.110), Si at (0.000, 0.000, 0.500) and Ir at (0.000, 0.500, 0.250).

The mass density is 6.605 g cm⁻³. The value obtained for the total magnetic moment is 0.00 μB per cell. Its density of states at the Fermi level is 0.996 states/eV per atom.


iii) This record from Alexandria via LeMat-Bulk describes a relaxed Na2SiIr2 crystal. The functional is PBE.

It has space group P4/mbm (No. 127), with a = 7.195 Å, b = 7.195 Å, c = 3.052 Å, α = 90.00°, β = 90.00° and γ = 90.00°. The asymmetric unit holds Na at (0.103, 0.397, 0.000), Si at (0.000, 0.000, 0.000) and Ir at (0.202, 0.702, 0.500).

The mass density is 9.637 g cm⁻³. The value obtained for the total magnetic moment is 0.00 μB per cell. Its density of states at the Fermi level is 0.643 states/eV per atom.


Most favorable structure: i). The second most favorable one is 831 meV/atom above it.


i) This record from Alexandria via LeMat-Bulk describes a relaxed NaSm2Ir crystal. The functional is PBE.

It has space group P4/mmm (No. 123), with a = 3.554 Å, b = 3.554 Å, c = 9.455 Å, α = 90.00°, β = 90.00° and γ = 90.00°. The asymmetric unit holds Na at (0.000, 0.000, 0.000), Sm at (0.500, 0.500, 0.328) and Ir at (0.000, 0.000, 0.500).

The mass density is 7.173 g cm⁻³. The value obtained for the total magnetic moment is 0.00 μB per cell. Its density of states at the Fermi level is 0.781 states/eV per atom.


ii) This record from Alexandria via LeMat-Bulk describes a relaxed NaSm2Ir crystal. The functional is PBE.

It has space group R-3m (No. 166, hexagonal axes), with a = 4.1108 Å, b = 4.1108 Å, c = 31.6180 Å, α = 90.00°, β = 90.00° and γ = 120.00°. The asymmetric unit holds Na at (0.0000, 0.0000, 0.0000), Sm at (0.0000, 0.0000, 0.1201) and Ir at (0.0000, 0.0000, 0.5000).

The mass density is 5.555 g cm⁻³. The value obtained for the total magnetic moment is 0.00 μB per cell. Its density of states at the Fermi level is 0.860 states/eV per atom.


Most favorable structure: i). The second most favorable one is 23 meV/atom above it.


i) This record from Alexandria via LeMat-Bulk describes a relaxed NaSn3Ir crystal. The functional is PBE.

It has space group Pm-3m (No. 221), with a = 5.235 Å, b = 5.235 Å, c = 5.235 Å, α = 90.00°, β = 90.00° and γ = 90.00°. The asymmetric unit holds Na at (0.000, 0.000, 0.000), Sn at (0.000, 0.500, 0.500) and Ir at (0.500, 0.500, 0.500).

The mass density is 6.612 g cm⁻³. The value obtained for the total magnetic moment is 0.00 μB per cell. Its density of states at the Fermi level is 1.029 states/eV per atom.


ii) This record from Alexandria via LeMat-Bulk describes a relaxed NaSn3Ir crystal. The functional is PBE.

It has space group Pm-3m (No. 221), with a = 5.134 Å, b = 5.134 Å, c = 5.134 Å, α = 90.00°, β = 90.00° and γ = 90.00°. The asymmetric unit holds Na at (0.000, 0.000, 0.000), Sn at (0.000, 0.000, 0.500) and Ir at (0.500, 0.500, 0.500).

The mass density is 7.011 g cm⁻³. The value obtained for the total magnetic moment is 0.00 μB per cell. Its density of states at the Fermi level is 1.056 states/eV per atom.


iii) This record from Alexandria via LeMat-Bulk describes a relaxed NaSn3Ir crystal. The functional is PBE.

It has space group Pnma (No. 62), with a = 8.768 Å, b = 4.426 Å, c = 12.313 Å, α = 90.00°, β = 90.00° and γ = 90.00°. The asymmetric unit holds Na at (0.181, 0.250, 0.004), Sn at (0.070, 0.250, 0.423), Sn at (0.109, 0.750, 0.183), Sn at (0.140, 0.750, 0.785) and Ir at (0.089, 0.250, 0.647).

The mass density is 7.942 g cm⁻³. The value obtained for the total magnetic moment is 0.00 μB per cell. Its density of states at the Fermi level is 0.475 states/eV per atom.


Most favorable structure: iii). The second most favorable one is 326 meV/atom above it.


i) This record from Alexandria via LeMat-Bulk describes a relaxed NaSnIr3 crystal. The functional is PBE.

It has space group Pm-3m (No. 221), with a = 4.947 Å, b = 4.947 Å, c = 4.947 Å, α = 90.00°, β = 90.00° and γ = 90.00°. The asymmetric unit holds Na at (0.000, 0.000, 0.000), Sn at (0.500, 0.500, 0.500) and Ir at (0.000, 0.500, 0.500).

The mass density is 9.851 g cm⁻³. The value obtained for the total magnetic moment is 1.78 μB per cell. Its density of states at the Fermi level is 1.914 states/eV per atom.


ii) This record from Alexandria via LeMat-Bulk describes a relaxed NaSnIr3 crystal. The functional is PBE.

It has space group Pm-3m (No. 221), with a = 4.523 Å, b = 4.523 Å, c = 4.523 Å, α = 90.00°, β = 90.00° and γ = 90.00°. The asymmetric unit holds Na at (0.000, 0.000, 0.000), Sn at (0.500, 0.500, 0.500) and Ir at (0.000, 0.000, 0.500).

The mass density is 12.892 g cm⁻³. The value obtained for the total magnetic moment is 0.00 μB per cell. Its density of states at the Fermi level is 0.542 states/eV per atom.


Most favorable structure: i). The second most favorable one is 385 meV/atom above it.